Version 1
{
  "formula": "Li3MgPd3",
  "functional": "GGA-PBE",
  "state": "relaxed",
  "sg": "R-3, No. 148",
  "lattice": [[6.658, 0.000, 0.000], [3.329, 5.766, 0.000], [3.329, 1.922, 5.988]],
  "species": ["Mg", "Mg", "Pd", "Pd", "Pd", "Pd", "Pd", "Pd", "Li", "Li", "Li", "Li", "Li", "Li"],
  "fractional_positions": [[0.342, 0.342, 0.975], [0.658, 0.658, 0.025], [0.186, 0.697, 0.185], [0.069, 0.814, 0.815], [0.303, 0.069, 0.815], [0.931, 0.186, 0.185], [0.697, 0.931, 0.185], [0.814, 0.303, 0.815], [0.444, 0.268, 0.372], [0.268, 0.916, 0.372], [0.556, 0.732, 0.628], [0.084, 0.556, 0.628], [0.732, 0.084, 0.628], [0.916, 0.444, 0.372]]
}

Version 2
{
  "formula": "Li3MgPd3",
  "functional": "GGA-PBE",
  "state": "relaxed",
  "sg": "Cmmm, No. 65",
  "lattice": [[-0.330, -2.943, -5.316], [2.863, -4.671, 2.648], [-5.264, -2.315, 1.608]],
  "species": ["Mg", "Mg", "Pd", "Pd", "Pd", "Pd", "Pd", "Pd", "Li", "Li", "Li", "Li", "Li", "Li"],
  "fractional_positions": [[0.260, 0.260, 0.000], [0.740, 0.740, 0.000], [0.000, 0.500, 0.745], [0.000, 0.000, 0.740], [0.000, 0.000, 0.260], [0.000, 0.500, 0.255], [0.500, 0.000, 0.255], [0.500, 0.000, 0.745], [0.737, 0.737, 0.500], [0.758, 0.242, 0.000], [0.746, 0.254, 0.500], [0.254, 0.746, 0.500], [0.263, 0.263, 0.500], [0.242, 0.758, 0.000]]
}

Which of them is the most stable, and which is the least stable? version 2 and version 1, in that order.

Version 1
{
  "formula": "LiMg3Pd",
  "functional": "GGA-PBE",
  "state": "relaxed",
  "sg": "P2_1/c, No. 14",
  "lattice": [[-0.011, -2.148, 6.103], [-7.055, -0.877, -0.321], [4.076, -7.945, -2.790]],
  "species": ["Mg", "Mg", "Mg", "Mg", "Mg", "Mg", "Mg", "Mg", "Mg", "Mg", "Mg", "Mg", "Li", "Li", "Li", "Li", "Pd", "Pd", "Pd", "Pd"],
  "fractional_positions": [[0.494, 0.363, 0.593], [0.504, 0.639, 0.909], [0.504, 0.004, 0.251], [0.496, 0.361, 0.091], [0.994, 0.637, 0.907], [0.506, 0.637, 0.407], [0.996, 0.639, 0.409], [0.004, 0.361, 0.591], [0.996, 0.004, 0.751], [0.496, 0.996, 0.749], [0.004, 0.996, 0.249], [0.006, 0.363, 0.093], [0.750, 0.975, 0.494], [0.750, 0.975, 0.994], [0.250, 0.025, 0.506], [0.250, 0.025, 0.006], [0.250, 0.312, 0.330], [0.750, 0.688, 0.170], [0.250, 0.312, 0.830], [0.750, 0.688, 0.670]]
}

Version 2
{
  "formula": "LiMg3Pd",
  "functional": "GGA-PBE",
  "state": "relaxed",
  "sg": "C2/c, No. 15",
  "lattice": [[5.406, 0.293, 0.238], [0.368, 8.771, 0.026], [0.368, 1.806, 8.583]],
  "species": ["Mg", "Mg", "Mg", "Mg", "Mg", "Mg", "Mg", "Mg", "Mg", "Mg", "Mg", "Mg", "Pd", "Pd", "Pd", "Pd", "Li", "Li", "Li", "Li"],
  "fractional_positions": [[0.355, 0.297, 0.485], [0.645, 0.703, 0.515], [0.510, 0.745, 0.134], [0.553, 0.939, 0.743], [0.010, 0.134, 0.745], [0.990, 0.866, 0.255], [0.947, 0.257, 0.061], [0.855, 0.485, 0.297], [0.145, 0.515, 0.703], [0.447, 0.061, 0.257], [0.053, 0.743, 0.939], [0.490, 0.255, 0.866], [0.250, 0.608, 0.392], [0.750, 0.996, 0.004], [0.250, 0.004, 0.996], [0.750, 0.392, 0.608], [0.624, 0.577, 0.851], [0.876, 0.149, 0.423], [0.124, 0.851, 0.577], [0.376, 0.423, 0.149]]
}

Version 3
{
  "formula": "LiMg3Pd",
  "functional": "GGA-PBE",
  "state": "relaxed",
  "sg": "Pm-3m, No. 221",
  "lattice": [[5.025, 0.000, 0.000], [0.000, 5.025, 0.000], [0.000, 0.000, 5.025]],
  "species": ["Mg", "Mg", "Mg", "Li", "Pd"],
  "fractional_positions": [[0.000, 0.000, 0.500], [0.000, 0.500, 0.000], [0.500, 0.000, 0.000], [0.500, 0.500, 0.500], [0.000, 0.000, 0.000]]
}

Which of them is the most stable, and which is the least stable? version 2 and version 3, in that order.